<A>
Ni2Pd4Rh | GGA-PBE | optimized geometry

For the density, the calculation gives 10.24 g cm⁻³. For the total magnetization, the calculation gives 1.0 μB/f.u.

The space group is I-42d (No. 122) and the conventional cell measures 7.487, 7.487 and 7.474 Å, with angles of 90.00, 90.00 and 90.00 degrees. The asymmetric unit holds Ni at (0.137, 0.750, 0.125), Pd at (0.081, 0.663, 0.445) and Rh at (0.000, 0.000, 0.500).



<B>
Ni2Pd4Rh | GGA-PBE | optimized geometry

For the density, the calculation gives 10.38 g cm⁻³. For the total magnetization, the calculation gives 4.1 μB/f.u.

The space group is Fddd (No. 70, origin choice 2) and the conventional cell measures 5.071, 9.498 and 17.172 Å, with angles of 90.00, 90.00 and 90.00 degrees. The asymmetric unit holds Ni at (0.125, 0.125, 0.350), Pd at (0.003, 0.254, 0.472) and Rh at (0.125, 0.125, 0.625).



Which of them is the most stable, and which is the least stable? <B> and <A>, in that order.



<A>
NiPdRh2 | GGA-PBE | optimized geometry

For the density, the calculation gives 11.12 g cm⁻³. For the total magnetization, the calculation gives 1.8 μB/f.u.

The space group is P4/mmm (No. 123) and the conventional cell measures 3.802, 3.802 and 3.833 Å, with angles of 90.00, 90.00 and 90.00 degrees. The asymmetric unit holds Ni at (0.000, 0.000, 0.000), Pd at (0.500, 0.500, 0.000) and Rh at (0.000, 0.500, 0.500).



<B>
NiPdRh2 | GGA-PBE | optimized geometry

For the density, the calculation gives 10.23 g cm⁻³. For the total magnetization, the calculation gives 0.0 μB/f.u.

The space group is I-42d (No. 122) and the conventional cell measures 6.867, 6.867 and 5.109 Å, with angles of 90.00, 90.00 and 90.00 degrees. The asymmetric unit holds Ni at (0.000, 0.000, 0.000), Pd at (0.000, 0.000, 0.500) and Rh at (0.215, 0.750, 0.125).



<C>
NiPdRh2 | GGA-PBE | optimized geometry

For the density, the calculation gives 11.00 g cm⁻³. For the total magnetization, the calculation gives 1.1 μB/f.u.

The space group is Fm-3m (No. 225) and the conventional cell measures 6.073, 6.073 and 6.073 Å, with angles of 90.00, 90.00 and 90.00 degrees. The asymmetric unit holds Ni at (0.000, 0.000, 0.000), Pd at (0.000, 0.000, 0.500) and Rh at (0.250, 0.250, 0.250).



<D>
NiPdRh2 | GGA-PBE | optimized geometry

For the density, the calculation gives 11.22 g cm⁻³. For the total magnetization, the calculation gives 0.0 μB/f.u.

The space group is P4/mmm (No. 123) and the conventional cell measures 2.726, 2.726 and 7.389 Å, with angles of 90.00, 90.00 and 90.00 degrees. The asymmetric unit holds Ni at (0.000, 0.000, 0.000), Pd at (0.000, 0.000, 0.500) and Rh at (0.500, 0.500, 0.230).



Which of them is the most stable, and which is the least stable? <D> and <B>, in that order.



<A>
ScNiPdRh | GGA-PBE | optimized geometry

For the density, the calculation gives 8.76 g cm⁻³. For the total magnetization, the calculation gives 0.8 μB/f.u.

The space group is Pmmm (No. 47) and the conventional cell measures 3.753, 3.936 and 4.016 Å, with angles of 90.00, 90.00 and 90.00 degrees. The asymmetric unit holds Sc at (0.000, 0.000, 0.000), Ni at (0.000, 0.500, 0.500), Pd at (0.500, 0.000, 0.500) and Rh at (0.500, 0.500, 0.000).



<B>
ScNiPdRh | GGA-PBE | optimized geometry

For the density, the calculation gives 8.65 g cm⁻³. For the total magnetization, the calculation gives 0.0 μB/f.u.

The space group is F-43m (No. 216) and the conventional cell measures 6.217, 6.217 and 6.217 Å, with angles of 90.00, 90.00 and 90.00 degrees. The asymmetric unit holds Sc at (0.000, 0.000, 0.000), Ni at (0.000, 0.000, 0.500), Pd at (0.250, 0.250, 0.750) and Rh at (0.250, 0.250, 0.250).



Which of them is the most stable, and which is the least stable? <A> and <B>, in that order.



<A>
NiSnPdRh | GGA-PBE | optimized geometry

For the density, the calculation gives 10.59 g cm⁻³. For the total magnetization, the calculation gives 0.3 μB/f.u.

The space group is I-4m2 (No. 119) and the conventional cell measures 4.120, 4.120 and 7.145 Å, with angles of 90.00, 90.00 and 90.00 degrees. The asymmetric unit holds Ni at (0.000, 0.000, 0.000), Sn at (0.000, 0.000, 0.500), Pd at (0.000, 0.500, 0.250) and Rh at (0.000, 0.500, 0.750).



<B>
NiSnPdRh | GGA-PBE | optimized geometry

For the density, the calculation gives 10.57 g cm⁻³. For the total magnetization, the calculation gives 0.1 μB/f.u.

The space group is F-43m (No. 216) and the conventional cell measures 6.241, 6.241 and 6.241 Å, with angles of 90.00, 90.00 and 90.00 degrees. The asymmetric unit holds Ni at (0.000, 0.000, 0.000), Sn at (0.000, 0.000, 0.500), Pd at (0.250, 0.250, 0.750) and Rh at (0.250, 0.250, 0.250).



Which of them is the most stable, and which is the least stable? <A> and <B>, in that order.



<A>
TcNiPdRh | GGA-PBE | optimized geometry

For the density, the calculation gives 10.84 g cm⁻³. For the total magnetization, the calculation gives 1.2 μB/f.u.

The space group is F-43m (No. 216) and the conventional cell measures 6.076, 6.076 and 6.076 Å, with angles of 90.00, 90.00 and 90.00 degrees. The asymmetric unit holds Tc at (0.000, 0.000, 0.000), Ni at (0.250, 0.250, 0.250), Pd at (0.000, 0.000, 0.500) and Rh at (0.250, 0.250, 0.750).



<B>
TcNiPdRh | GGA-PBE | optimized geometry

For the density, the calculation gives 11.03 g cm⁻³. For the total magnetization, the calculation gives 0.0 μB/f.u.

The space group is P4mm (No. 99) and the conventional cell measures 2.708, 2.708 and 7.514 Å, with angles of 90.00, 90.00 and 90.00 degrees. The asymmetric unit holds Tc at (0.000, 0.000, 0.000), Ni at (0.500, 0.500, 0.230), Pd at (0.000, 0.000, 0.476) and Rh at (0.500, 0.500, 0.752).



Which of them is the most stable, and which is the least stable? <B> and <A>, in that order.



<A>
VNiPdRh | GGA-PBE | optimized geometry

For the density, the calculation gives 9.90 g cm⁻³. For the total magnetization, the calculation gives 0.0 μB/f.u.

The space group is I-4m2 (No. 119) and the conventional cell measures 3.700, 3.700 and 7.815 Å, with angles of 90.00, 90.00 and 90.00 degrees. The asymmetric unit holds V at (0.000, 0.000, 0.000), Ni at (0.000, 0.500, 0.250), Pd at (0.000, 0.500, 0.750) and Rh at (0.000, 0.000, 0.500).



<B>
VNiPdRh | GGA-PBE | optimized geometry

For the density, the calculation gives 9.82 g cm⁻³. For the total magnetization, the calculation gives 0.0 μB/f.u.

The space group is F-43m (No. 216) and the conventional cell measures 5.997, 5.997 and 5.997 Å, with angles of 90.00, 90.00 and 90.00 degrees. The asymmetric unit holds V at (0.000, 0.000, 0.000), Ni at (0.000, 0.000, 0.500), Pd at (0.250, 0.250, 0.750) and Rh at (0.250, 0.250, 0.250).



Which of them is the most stable, and which is the least stable? <A> and <B>, in that order.



<A>
Ni2PdRu2 | GGA-PBE | optimized geometry

For the density, the calculation gives 10.59 g cm⁻³. For the total magnetization, the calculation gives 0.0 μB/f.u.

The space group is P4/mbm (No. 127) and the conventional cell measures 7.029, 7.029 and 2.705 Å, with angles of 90.00, 90.00 and 90.00 degrees. The asymmetric unit holds Ni at (0.120, 0.380, 0.000), Pd at (0.000, 0.000, 0.000) and Ru at (0.175, 0.675, 0.500).



<B>
Ni2PdRu2 | GGA-PBE | optimized geometry

For the density, the calculation gives 10.33 g cm⁻³. For the total magnetization, the calculation gives 0.0 μB/f.u.

The space group is P4/mbm (No. 127) and the conventional cell measures 7.140, 7.140 and 2.686 Å, with angles of 90.00, 90.00 and 90.00 degrees. The asymmetric unit holds Ni at (0.172, 0.328, 0.000), Pd at (0.000, 0.000, 0.500) and Ru at (0.122, 0.622, 0.500).



Which of them is the most stable, and which is the least stable? <A> and <B>, in that order.



<A>
NiPd3Ru | GGA-PBE | optimized geometry

For the density, the calculation gives 7.50 g cm⁻³. For the total magnetization, the calculation gives 0.0 μB/f.u.

The space group is Pm-3m (No. 221) and the conventional cell measures 4.734, 4.734 and 4.734 Å, with angles of 90.00, 90.00 and 90.00 degrees. The asymmetric unit holds Ni at (0.000, 0.000, 0.000), Pd at (0.000, 0.500, 0.500) and Ru at (0.500, 0.500, 0.500).



<B>
NiPd3Ru | GGA-PBE | optimized geometry

For the density, the calculation gives 8.71 g cm⁻³. For the total magnetization, the calculation gives 3.5 μB/f.u.

The space group is Pm-3m (No. 221) and the conventional cell measures 4.503, 4.503 and 4.503 Å, with angles of 90.00, 90.00 and 90.00 degrees. The asymmetric unit holds Ni at (0.000, 0.000, 0.000), Pd at (0.000, 0.000, 0.500) and Ru at (0.500, 0.500, 0.500).



Which of them is the most stable, and which is the least stable? <B> and <A>, in that order.



<A>
NiPd2S4 | GGA-PBE | optimized geometry

For the density, the calculation gives 5.34 g cm⁻³. For the total magnetization, the calculation gives 1.0 μB/f.u.

The space group is I4/mmm (No. 139) and the conventional cell measures 4.638, 4.638 and 11.555 Å, with angles of 90.00, 90.00 and 90.00 degrees. The asymmetric unit holds Ni at (0.000, 0.000, 0.000), Pd at (0.000, 0.000, 0.384), S at (0.000, 0.000, 0.190) and S at (0.000, 0.500, 0.000).



<B>
NiPd2S4 | GGA-PBE | optimized geometry

For the density, the calculation gives 5.45 g cm⁻³. For the total magnetization, the calculation gives 0.0 μB/f.u.

The space group is Imma (No. 74) and the conventional cell measures 6.942, 7.055 and 9.952 Å, with angles of 90.00, 90.00 and 90.00 degrees. The asymmetric unit holds Ni at (0.250, 0.250, 0.250), Pd at (0.000, 0.000, 0.000), Pd at (0.000, 0.250, 0.628), S at (0.000, 0.032, 0.243) and S at (0.234, 0.250, 0.020).



Which of them is the most stable, and which is the least stable? <B> and <A>, in that order.



<A>
Ni3PdS6 | GGA-PBE | optimized geometry

For the density, the calculation gives 5.02 g cm⁻³. For the total magnetization, the calculation gives 0.0 μB/f.u.

The space group is R3 (No. 146, hexagonal axes) and the conventional cell measures 5.9091, 5.9091 and 15.5702 Å, with angles of 90.00, 90.00 and 120.00 degrees. The asymmetric unit holds Ni at (0.0000, 0.0000, 0.0000), Ni at (0.0000, 0.0000, 0.1963), Ni at (0.0000, 0.0000, 0.5022), Pd at (0.0000, 0.0000, 0.6975), S at (0.0050, 0.6897, 0.5950) and S at (0.0159, 0.3039, 0.1003).



<B>
Ni3PdS6 | GGA-PBE | optimized geometry

For the density, the calculation gives 4.85 g cm⁻³. For the total magnetization, the calculation gives 0.0 μB/f.u.

The space group is Cmmm (No. 65) and the conventional cell measures 8.279, 11.295 and 3.477 Å, with angles of 90.00, 90.00 and 90.00 degrees. The asymmetric unit holds Ni at (0.000, 0.000, 0.000), Ni at (0.250, 0.250, 0.500), Pd at (0.000, 0.500, 0.000), S at (0.000, 0.348, 0.500) and S at (0.194, 0.128, 0.000).



Which of them is the most stable, and which is the least stable? <A> and <B>, in that order.



<A>
NiPdS2 | GGA-PBE | optimized geometry

For the density, the calculation gives 5.32 g cm⁻³. For the total magnetization, the calculation gives 0.0 μB/f.u.

The space group is I-42d (No. 122) and the conventional cell measures 5.320, 5.320 and 10.115 Å, with angles of 90.00, 90.00 and 90.00 degrees. The asymmetric unit holds Ni at (0.000, 0.000, 0.000), Pd at (0.000, 0.000, 0.500) and S at (0.219, 0.250, 0.125).



<B>
NiPdS2 | GGA-PBE | optimized geometry

For the density, the calculation gives 5.39 g cm⁻³. For the total magnetization, the calculation gives 0.0 μB/f.u.

The space group is C2/c (No. 15) and the conventional cell measures 4.978, 11.004 and 5.154 Å, with angles of 90.00, 90.60 and 90.00 degrees. The asymmetric unit holds Ni at (0.000, 0.034, 0.250), Pd at (0.000, 0.261, 0.750) and S at (0.242, 0.390, 0.042).



Which of them is the most stable, and which is the least stable? <A> and <B>, in that order.